! Th6TlBi5, relaxed, DFT GGA-PBE; values from VASP
! Calculated total energy in eV/atom: -6.00
! ΔE_f in eV/atom: -0.473
! Spin magnetization in μB per atom: 0.0000
&SYSTEM
  ibrav = 0, nat = 12, ntyp = 3
/
ATOMIC_SPECIES
Tl 204.38 Tl.upf
Bi 208.98 Bi.upf
Th 232.04 Th.upf
CELL_PARAMETERS angstrom
-0.797 -1.749 -7.711
3.486 -5.195 4.900
-7.555 -0.842 2.336
ATOMIC_POSITIONS crystal
Tl 0.000 0.000 0.000
Bi 0.171 0.829 0.500
Bi 0.829 0.171 0.500
Th 0.408 0.081 0.245
Th 0.592 0.919 0.755
Bi 0.665 0.335 0.000
Bi 0.335 0.665 0.000
Th 0.081 0.408 0.245
Th 0.242 0.242 0.751
Th 0.758 0.758 0.249
Th 0.919 0.592 0.755
Bi 0.500 0.500 0.500

***

! La10Tl3Bi3, relaxed, DFT GGA-PBE; values from VASP
! Calculated total energy in eV/atom: -4.82
! ΔE_f in eV/atom: -0.567
! Spin magnetization in μB per atom: 0.0000
&SYSTEM
  ibrav = 0, nat = 16, ntyp = 3
/
ATOMIC_SPECIES
La 138.91 La.upf
Tl 204.38 Tl.upf
Bi 208.98 Bi.upf
CELL_PARAMETERS angstrom
-4.803 -4.736 -1.293
6.148 -6.958 2.651
-5.792 4.082 6.560
ATOMIC_POSITIONS crystal
La 0.500 0.000 0.756
Tl 0.000 0.000 0.609
Bi 0.500 0.387 0.000
La 0.739 0.667 0.333
Bi 0.500 0.000 0.387
La 0.000 0.754 0.754
La 0.000 0.000 0.246
Bi 0.500 0.613 0.613
La 0.261 0.667 0.333
La 0.500 0.756 0.000
La 0.261 0.333 0.667
Tl 0.000 0.609 0.000
La 0.739 0.333 0.667
La 0.500 0.244 0.244
Tl 0.000 0.391 0.391
La 0.000 0.246 0.000

***

! Ba2VMoS, relaxed, DFT GGA-PBE; values from VASP
! Calculated total energy in eV/atom: -5.15
! Uncorrected formation energy in meV/atom: 438.4
! Spin magnetization in μB per atom: 1.5819
&SYSTEM
  ibrav = 0, nat = 5, ntyp = 4
/
ATOMIC_SPECIES
S 32.06 S.upf
Ba 137.33 Ba.upf
Mo 95.94 Mo.upf
V 50.94 V.upf
CELL_PARAMETERS angstrom
6.234 0.000 0.000
0.000 4.510 0.000
0.000 0.000 6.234
ATOMIC_POSITIONS crystal
S 0.000 0.000 0.000
Ba 0.000 0.000 0.500
Mo 0.500 0.500 0.500
Ba 0.500 0.000 0.000
V 0.000 0.500 0.000

***

! Na3Pr2NdSe6, relaxed, DFT GGA-PBE; values from VASP
! Calculated total energy in eV/atom: -4.95
! Uncorrected formation energy in meV/atom: -1679.6
! Spin magnetization in μB per atom: 0.0000
&SYSTEM
  ibrav = 0, nat = 12, ntyp = 4
/
ATOMIC_SPECIES
Se 78.96 Se.upf
Pr 140.91 Pr.upf
Na 22.99 Na.upf
Nd 144.24 Nd.upf
CELL_PARAMETERS angstrom
-0.082 -7.458 -0.172
2.684 3.563 5.980
-7.267 1.302 0.934
ATOMIC_POSITIONS crystal
Se 0.253 0.253 0.763
Se 0.411 0.079 0.237
Pr 0.667 0.333 0.000
Na 0.833 0.167 0.500
Pr 0.333 0.667 0.000
Na 0.500 0.500 0.500
Nd 0.000 0.000 0.000
Se 0.079 0.411 0.237
Na 0.167 0.833 0.500
Se 0.921 0.589 0.763
Se 0.589 0.921 0.763
Se 0.747 0.747 0.237

***

! Ga2BiPt2, relaxed, DFT GGA-PBE; values from VASP
! Calculated total energy in eV/atom: -4.76
! ΔE_f in eV/atom: -0.353
! Spin magnetization in μB per atom: 0.0000
&SYSTEM
  ibrav = 0, nat = 10, ntyp = 3
/
ATOMIC_SPECIES
Pt 195.08 Pt.upf
Bi 208.98 Bi.upf
Ga 69.72 Ga.upf
CELL_PARAMETERS angstrom
7.869 0.000 0.000
0.000 7.869 0.000
0.000 0.000 2.948
ATOMIC_POSITIONS crystal
Pt 0.149 0.351 0.000
Bi 0.000 0.000 0.000
Ga 0.143 0.643 0.500
Bi 0.500 0.500 0.000
Pt 0.351 0.851 0.000
Ga 0.857 0.357 0.500
Ga 0.357 0.143 0.500
Pt 0.649 0.149 0.000
Pt 0.851 0.649 0.000
Ga 0.643 0.857 0.500

***

! TlCuTcIr2, relaxed, DFT GGA-PBE; values from VASP
! Calculated total energy in eV/atom: -4.35
! ΔE_f in eV/atom: 2.556
! Spin magnetization in μB per atom: 0.9679
&SYSTEM
  ibrav = 0, nat = 5, ntyp = 4
/
ATOMIC_SPECIES
Ir 192.22 Ir.upf
Cu 63.55 Cu.upf
Tl 204.38 Tl.upf
Tc 98.00 Tc.upf
CELL_PARAMETERS angstrom
-3.122 -2.263 -3.151
3.558 0.137 -3.624
1.700 -4.433 1.501
ATOMIC_POSITIONS crystal
Ir 0.000 0.000 0.500
Ir 0.500 0.000 0.000
Cu 0.500 0.500 0.500
Tl 0.000 0.000 0.000
Tc 0.000 0.500 0.000

***

! TbSmY2Tl2, relaxed, DFT GGA-PBE; values from VASP
! Calculated total energy in eV/atom: -4.79
! ΔE_f in eV/atom: -0.290
! Spin magnetization in μB per atom: 0.0000
&SYSTEM
  ibrav = 0, nat = 12, ntyp = 4
/
ATOMIC_SPECIES
Tl 204.38 Tl.upf
Y 88.91 Y.upf
Tb 158.93 Tb.upf
Sm 150.36 Sm.upf
CELL_PARAMETERS angstrom
-0.244 -4.438 -2.563
5.704 1.668 -3.431
5.568 -4.413 7.111
ATOMIC_POSITIONS crystal
Tl 0.500 0.719 0.636
Tl 0.500 0.219 0.364
Y 0.500 0.053 0.044
Y 0.000 0.336 0.185
Y 0.500 0.553 0.956
Tb 0.500 0.181 0.689
Sm 0.000 0.960 0.457
Y 0.000 0.836 0.815
Tl 0.000 0.797 0.132
Tl 0.000 0.297 0.868
Sm 0.000 0.460 0.543
Tb 0.500 0.681 0.311

***

! Sm3ErPu3Te8, relaxed, DFT GGA-PBE; values from VASP
! Calculated total energy in eV/atom: -7.08
! Uncorrected formation energy in meV/atom: -1286.3
! Spin magnetization in μB per atom: 0.3932
&SYSTEM
  ibrav = 0, nat = 15, ntyp = 4
/
ATOMIC_SPECIES
Te 127.60 Te.upf
Sm 150.36 Sm.upf
Pu 244.00 Pu.upf
Er 167.26 Er.upf
CELL_PARAMETERS angstrom
8.862 0.009 0.001
-4.423 7.660 -0.026
-0.004 -5.085 7.237
ATOMIC_POSITIONS crystal
Te 0.751 0.000 0.251
Te 0.751 0.501 0.752
Sm 0.500 0.000 0.500
Pu 0.500 0.500 0.000
Te 0.249 0.499 0.248
Te 0.249 0.000 0.749
Te 0.752 0.001 0.750
Te 0.751 0.502 0.251
Sm 0.500 0.500 0.500
Sm 0.000 0.500 0.500
Pu 0.000 0.000 0.000
Te 0.248 0.999 0.250
Er 0.000 0.000 0.500
Te 0.249 0.498 0.749
Pu 0.000 0.500 0.000

***

! CdTe2NCl, relaxed, DFT GGA-PBE; values from VASP
! Calculated total energy in eV/atom: -2.31
! Uncorrected formation energy in meV/atom: 1167.4
! Spin magnetization in μB per atom: 0.0000
&SYSTEM
  ibrav = 0, nat = 5, ntyp = 4
/
ATOMIC_SPECIES
N 14.01 N.upf
Te 127.60 Te.upf
Cd 112.41 Cd.upf
Cl 35.45 Cl.upf
CELL_PARAMETERS angstrom
5.773 0.000 0.000
0.000 5.773 0.000
0.000 0.000 4.039
ATOMIC_POSITIONS crystal
N 0.000 0.000 0.500
Te 0.000 0.500 0.000
Cd 0.000 0.000 0.000
Te 0.500 0.000 0.000
Cl 0.500 0.500 0.500

***

! FePt2Br, relaxed, DFT GGA-PBE; values from VASP
! Calculated total energy in eV/atom: -5.34
! Uncorrected formation energy in meV/atom: 218.2
! Spin magnetization in μB per atom: 0.9780
&SYSTEM
  ibrav = 0, nat = 4, ntyp = 3
/
ATOMIC_SPECIES
Br 79.90 Br.upf
Fe 55.84 Fe.upf
Pt 195.08 Pt.upf
CELL_PARAMETERS angstrom
-2.602 0.919 -0.195
-0.272 -0.173 2.748
3.309 9.566 0.931
ATOMIC_POSITIONS crystal
Br 0.500 0.500 0.250
Fe 0.500 0.500 0.750
Pt 0.000 0.000 0.924
Pt 0.000 0.000 0.576

***

! ErHf2Se, relaxed, DFT GGA-PBE; values from VASP
! Calculated total energy in eV/atom: -7.04
! Uncorrected formation energy in meV/atom: -48.9
! Spin magnetization in μB per atom: 0.0001
&SYSTEM
  ibrav = 0, nat = 4, ntyp = 3
/
ATOMIC_SPECIES
Hf 178.49 Hf.upf
Se 78.96 Se.upf
Er 167.26 Er.upf
CELL_PARAMETERS angstrom
-1.385 -2.677 1.343
0.753 -0.871 3.092
-7.885 4.531 4.956
ATOMIC_POSITIONS crystal
Hf 0.102 0.102 0.693
Hf 0.898 0.898 0.307
Se 0.500 0.500 0.500
Er 0.000 0.000 0.000

***

! Pu2AsBr, relaxed, DFT GGA-PBE; values from VASP
! Calculated total energy in eV/atom: -9.70
! Uncorrected formation energy in meV/atom: -958.4
! Spin magnetization in μB per atom: 2.9936
&SYSTEM
  ibrav = 0, nat = 4, ntyp = 3
/
ATOMIC_SPECIES
As 74.92 As.upf
Pu 244.00 Pu.upf
Br 79.90 Br.upf
CELL_PARAMETERS angstrom
4.033 0.000 0.000
-2.016 3.492 -0.001
0.000 0.001 7.705
ATOMIC_POSITIONS crystal
As 0.000 0.500 0.000
Pu 0.333 0.167 0.222
Br 0.000 0.500 0.500
Pu 0.667 0.833 0.778

***

! IrRuRh2, relaxed, DFT GGA-PBE; values from VASP
! Calculated total energy in eV/atom: -7.74
! ΔE_f in eV/atom: 0.465
! Spin magnetization in μB per atom: 0.3965
&SYSTEM
  ibrav = 0, nat = 4, ntyp = 3
/
ATOMIC_SPECIES
Ir 192.22 Ir.upf
Ru 101.07 Ru.upf
Rh 102.91 Rh.upf
CELL_PARAMETERS angstrom
4.143 -1.059 0.858
2.671 2.936 1.809
1.313 -0.498 4.129
ATOMIC_POSITIONS crystal
Ir 0.500 0.500 0.500
Ru 0.000 0.000 0.000
Rh 0.250 0.250 0.250
Rh 0.750 0.750 0.750

***

! CdSiAg2, relaxed, DFT GGA-PBE; values from VASP
! Calculated total energy in eV/atom: -2.79
! Uncorrected formation energy in meV/atom: 215.4
! Spin magnetization in μB per atom: 0.0000
&SYSTEM
  ibrav = 0, nat = 4, ntyp = 3
/
ATOMIC_SPECIES
Si 28.09 Si.upf
Cd 112.41 Cd.upf
Ag 107.87 Ag.upf
CELL_PARAMETERS angstrom
-4.158 4.815 -2.068
-1.740 -4.274 2.062
-1.430 1.640 2.088
ATOMIC_POSITIONS crystal
Si 0.500 0.500 0.000
Cd 0.000 0.500 0.500
Ag 0.500 0.000 0.500
Ag 0.000 0.000 0.000

***

! Zr3CdN, relaxed, DFT GGA-PBE; values from VASP
! Calculated total energy in eV/atom: -7.65
! Uncorrected formation energy in meV/atom: -668.3
! Spin magnetization in μB per atom: 0.0000
&SYSTEM
  ibrav = 0, nat = 20, ntyp = 3
/
ATOMIC_SPECIES
Zr 91.22 Zr.upf
Cd 112.41 Cd.upf
N 14.01 N.upf
CELL_PARAMETERS angstrom
23.866 0.000 -2.821
0.000 5.864 0.000
-8.539 0.000 3.731
ATOMIC_POSITIONS crystal
Zr 0.798 0.586 0.444
Zr 0.854 0.067 0.748
Cd 0.506 0.338 0.912
N 0.533 0.748 0.670
Cd 0.494 0.662 0.088
N 0.967 0.248 0.830
N 0.033 0.752 0.170
Zr 0.354 0.433 0.248
Zr 0.079 0.377 0.899
Zr 0.646 0.567 0.752
N 0.467 0.252 0.330
Zr 0.702 0.086 0.056
Zr 0.421 0.877 0.601
Zr 0.579 0.123 0.399
Zr 0.921 0.623 0.101
Zr 0.202 0.414 0.556
Zr 0.146 0.933 0.252
Zr 0.298 0.914 0.944
Cd 0.994 0.838 0.588
Cd 0.006 0.162 0.412

***

! La2Pm2S3, relaxed, DFT GGA-PBE; values from VASP
! Calculated total energy in eV/atom: -6.31
! Uncorrected formation energy in meV/atom: -1773.9
! Spin magnetization in μB per atom: 0.0000
&SYSTEM
  ibrav = 0, nat = 7, ntyp = 3
/
ATOMIC_SPECIES
S 32.06 S.upf
La 138.91 La.upf
Pm 145.00 Pm.upf
CELL_PARAMETERS angstrom
-0.227 2.583 3.165
-4.121 -5.547 1.582
6.253 -2.261 2.291
ATOMIC_POSITIONS crystal
S 0.000 0.000 0.000
S 0.748 0.497 0.254
La 0.625 0.250 0.870
Pm 0.869 0.738 0.630
S 0.252 0.503 0.746
La 0.375 0.750 0.130
Pm 0.131 0.262 0.370

***

! DyY3Er2Te6, relaxed, DFT GGA-PBE; values from VASP
! Calculated total energy in eV/atom: -5.60
! Uncorrected formation energy in meV/atom: -1272.0
! Spin magnetization in μB per atom: 0.0000
&SYSTEM
  ibrav = 0, nat = 12, ntyp = 4
/
ATOMIC_SPECIES
Y 88.91 Y.upf
Te 127.60 Te.upf
Dy 162.50 Dy.upf
Er 167.26 Er.upf
CELL_PARAMETERS angstrom
-3.958 -1.720 0.391
0.558 -3.132 -8.130
5.546 -6.143 5.104
ATOMIC_POSITIONS crystal
Y 0.835 0.167 0.670
Te 0.332 0.419 0.664
Te 0.999 0.750 0.998
Te 0.668 0.581 0.336
Dy 0.500 0.000 0.000
Er 0.834 0.669 0.669
Te 0.333 0.914 0.666
Y 0.165 0.833 0.330
Y 0.500 0.500 0.000
Te 0.001 0.250 0.002
Er 0.166 0.331 0.331
Te 0.667 0.086 0.334

***

! BaAlSe2O8, relaxed, DFT GGA-PBE; values from VASP
! Calculated total energy in eV/atom: -5.84
! Uncorrected formation energy in meV/atom: -1483.4
! Spin magnetization in μB per atom: 0.0000
&SYSTEM
  ibrav = 0, nat = 12, ntyp = 4
/
ATOMIC_SPECIES
Se 78.96 Se.upf
O 16.00 O.upf
Ba 137.33 Ba.upf
Al 26.98 Al.upf
CELL_PARAMETERS angstrom
5.056 -0.222 0.024
2.135 4.589 0.024
0.372 0.226 7.826
ATOMIC_POSITIONS crystal
Se 0.375 0.375 0.808
O 0.315 0.315 0.606
O 0.226 0.226 0.961
O 0.245 0.794 0.183
Ba 0.000 0.000 0.500
O 0.794 0.245 0.183
O 0.685 0.685 0.394
O 0.206 0.755 0.817
O 0.755 0.206 0.817
O 0.774 0.774 0.039
Al 0.000 0.000 0.000
Se 0.625 0.625 0.192

***

! AcScHg2, relaxed, DFT GGA-PBE; values from VASP
! Calculated total energy in eV/atom: -3.00
! ΔE_f in eV/atom: -0.240
! Spin magnetization in μB per atom: 0.0000
&SYSTEM
  ibrav = 0, nat = 4, ntyp = 3
/
ATOMIC_SPECIES
Ac 227.00 Ac.upf
Sc 44.96 Sc.upf
Hg 200.59 Hg.upf
CELL_PARAMETERS angstrom
3.796 0.000 0.000
1.898 3.287 0.000
1.898 1.096 9.393
ATOMIC_POSITIONS crystal
Ac 0.500 0.500 0.500
Sc 0.000 0.000 0.000
Hg 0.263 0.263 0.212
Hg 0.737 0.737 0.788

***

! CsTeI2Br, relaxed, DFT GGA-PBE; values from VASP
! Calculated total energy in eV/atom: -2.01
! Uncorrected formation energy in meV/atom: -260.5
! Spin magnetization in μB per atom: 0.0003
&SYSTEM
  ibrav = 0, nat = 5, ntyp = 4
/
ATOMIC_SPECIES
Br 79.90 Br.upf
I 126.90 I.upf
Cs 132.91 Cs.upf
Te 127.60 Te.upf
CELL_PARAMETERS angstrom
-4.463 0.865 4.077
4.077 -0.339 4.534
0.828 5.755 -0.314
ATOMIC_POSITIONS crystal
Br 0.000 0.000 0.000
I 0.500 0.000 0.000
Cs 0.500 0.500 0.500
I 0.000 0.500 0.000
Te 0.000 0.000 0.500